# 1
First-principles (PBE) data for crystalline CuNiBr3 at its relaxed geometry, as listed in Alexandria via LeMat-Bulk.

abc: 4.912 4.912 4.912
angles: 90.00 90.00 90.00
Fractional positions:
Ni 0.000 0.000 0.000
Cu 0.500 0.500 0.500
Br 0.000 0.500 0.000
Br 0.000 0.000 0.500
Br 0.500 0.000 0.000

## Properties
Relative energy among the computed polymorphs ... 2.327 eV/f.u.
Theoretical density ... 5.072 Mg/m³
Raw total energy ... -13.841 eV/cell
Formation energy (no corrections) ... 1.055 eV per formula unit

# 2
First-principles (PBE) data for crystalline Cu2NiBr at its relaxed geometry, as listed in Alexandria via LeMat-Bulk.

abc: 3.155 3.155 5.995
angles: 90.00 90.00 90.00
Each line ends with the local moment (μB).
Fractional positions:
Br 0.500 0.500 0.728  0.07
Cu 0.000 0.000 0.052  0.00
Cu 0.500 0.500 0.257  0.02
Ni 0.000 0.000 0.463  0.44

## Properties
Relative energy among the computed polymorphs ... 0.370 eV/f.u.
Theoretical density ... 7.395 Mg/m³
Raw total energy ... -14.293 eV/cell
Formation energy (no corrections) ... 1.353 eV per formula unit

# 3
First-principles (PBE) data for crystalline Cu2NiBr at its relaxed geometry, as listed in Alexandria via LeMat-Bulk.

abc: 4.228 4.228 6.088
angles: 79.64 79.64 41.64
Fractional positions:
Br 0.127 0.127 0.274
Cu 0.049 0.049 0.903
Cu 0.793 0.793 0.742
Ni 0.531 0.531 0.581

## Properties
Relative energy among the computed polymorphs ... 0.101 eV/f.u.
Theoretical density ... 6.219 Mg/m³
Raw total energy ... -14.563 eV/cell
Formation energy (no corrections) ... 1.084 eV per formula unit

# 4
First-principles (PBE) data for crystalline Cu3NiBr8 at its relaxed geometry, as listed in Alexandria via LeMat-Bulk.

abc: 7.086 7.966 7.494
angles: 115.15 90.00 116.41
Each line ends with the local moment (μB).
Fractional positions:
Cu 0.500 0.000 0.000  0.37
Cu 0.500 0.500 0.000  0.37
Cu 0.000 0.500 0.000  0.37
Ni 0.000 0.000 0.000  1.25
Br 0.249 0.498 0.778  0.17
Br 0.751 0.502 0.222  0.17
Br 0.254 0.999 0.772  0.15
Br 0.746 0.999 0.772  0.15
Br 0.786 0.572 0.804  0.25
Br 0.214 0.428 0.196  0.25
Br 0.254 0.001 0.228  0.15
Br 0.746 0.001 0.228  0.15

## Properties
Theoretical density ... 4.424 Mg/m³
Raw total energy ... -34.775 eV/cell
Formation energy (no corrections) ... -3.322 eV per formula unit

# 5
First-principles (PBE) data for crystalline Cu2NiBr at its relaxed geometry, as listed in Alexandria via LeMat-Bulk.

abc: 3.843 3.843 5.846
angles: 79.00 79.00 50.29
Each line ends with the local moment (μB).
Fractional positions:
Br 0.250 0.250 0.250  0.03
Cu 0.016 0.016 0.942  0.04
Cu 0.484 0.484 0.558  0.04
Ni 0.750 0.750 0.750  0.40

## Properties
Relative energy among the computed polymorphs ... 0.675 eV/f.u.
Theoretical density ... 6.796 Mg/m³
Raw total energy ... -13.988 eV/cell
Formation energy (no corrections) ... 1.658 eV per formula unit

# 6
First-principles (PBE) data for crystalline Cu2NiBr at its relaxed geometry, as listed in Alexandria via LeMat-Bulk.

abc: 7.086 7.086 5.585
angles: 50.62 50.62 90.00
Fractional positions:
Ni 0.500 0.500 0.000
Ni 0.250 0.750 0.500
Cu 0.608 0.125 0.250
Cu 0.142 0.625 0.250
Cu 0.375 0.392 0.750
Cu 0.875 0.858 0.750
Br 0.000 0.000 0.000
Br 0.750 0.250 0.500

## Properties
Relative energy among the computed polymorphs ... 1.154 eV/f.u.
Theoretical density ... 7.124 Mg/m³
Raw total energy ... -27.019 eV/cell
Formation energy (no corrections) ... 2.137 eV per formula unit

Number 1: N(E_F) 1.8 states/eV/cell. Number 2: N(E_F) 4.4 states/eV/cell. Number 3: N(E_F) 2.5 states/eV/cell. Number 4: N(E_F) 5.7 states/eV/cell. Number 5: N(E_F) 4.1 states/eV/cell. Number 6: N(E_F) 4.4 states/eV/cell.